DFT (meta-GGA SCAN) results for a crystal of Y2CuTcSn relaxed with PBEsol.

## Properties
Symmetry: No. 123
Energy of formation from the pure elements: 4.414 eV per formula unit
VASP energy: -27.4905 eV/atom

Lattice parameters (Å, degrees): 4.535 5.596 5.596 90.00 90.00 90.00
Each line ends with the local moment (μB).
Sites, in units of the cell vectors:
Y1 0.000 0.500 0.000  -0.31
Y2 0.000 0.000 0.500  -0.31
Tc1 0.500 0.500 0.500  3.01
Sn1 0.000 0.000 0.000  0.00
Cu1 0.500 0.000 0.000  0.02